## Cr2GaCo (GGA-PBE)

Data for a geometry-optimized Cr2GaCo structure.

a b c (Å): 6.5774 6.5774 4.8073
angles (deg): 90.00 90.00 90.00
Last column: nearest neighbours and their distance in Å.
Space group I-42d (No. 122)
Inequivalent atoms, fractional coordinates:
Cr 0.2170 0.2500 0.1250  2 Co 2.26, 2 Cr 2.44
Ga 0.0000 0.0000 0.5000  2 Co 2.40, 4 Cr 2.56
Co 0.0000 0.0000 0.0000  4 Cr 2.26, 2 Ga 2.40

E_form ... 0.513 eV per atom
D(E_F) ... 4.5 states/eV/f.u.
E ... -27.329 eV per formula unit